(1)
DFT (PBE) results for GeINO2 after structural relaxation.

The structure belongs to space group P4/mmm (No. 123); the cell edges are 4.114, 4.114 and 4.161 Å and the angles 90.00°, 90.00° and 90.00°. The distinct sites, in fractional coordinates, are Ge at (0.000, 0.000, 0.000), I at (0.500, 0.500, 0.000), N at (0.500, 0.500, 0.500) and O at (0.000, 0.500, 0.500).

The volume comes out at 70.4 Å³/cell. As for the electronic total energy: -18.5 eV/f.u. The formation energy without anion corrections comes out at 1.180 eV per atom.



(2)
DFT (PBE) results for LaZn2HgAu2 after structural relaxation.

The structure belongs to space group P-3m1 (No. 164); the cell edges are 4.6154, 4.6154 and 6.9517 Å and the angles 90.00°, 90.00° and 120.00°. The distinct sites, in fractional coordinates, are La at (0.0000, 0.0000, 0.0000), Zn at (0.3333, 0.6667, 0.2994), Hg at (0.0000, 0.0000, 0.5000) and Au at (0.3333, 0.6667, 0.7367).

The volume comes out at 128.2 Å³/cell. The value obtained for the formation energy is -0.438 eV per atom. As for the electronic total energy: -17.0 eV/f.u.



(3)
DFT (PBE) results for LaPm5Te8 after structural relaxation.

The structure belongs to space group I-4 (No. 82); the cell edges are 9.549, 9.549 and 9.477 Å and the angles 90.00°, 90.00° and 90.00°. The distinct sites, in fractional coordinates, are La at (0.000, 0.000, 0.000), Pm at (0.000, 0.500, 0.750), Pm at (0.130, 0.749, 0.375), Te at (0.073, 0.824, 0.697) and Te at (0.077, 0.672, 0.052).

The volume comes out at 864.2 Å³/cell. As for the electronic total energy: -74.0 eV/f.u. The formation energy without anion corrections comes out at -1.442 eV per atom.



(4)
DFT (PBE) results for Tb12Tm6Al after structural relaxation.

The structure belongs to space group R-3 (No. 148, hexagonal axes); the cell edges are 11.7552, 11.7552 and 14.8464 Å and the angles 90.00°, 90.00° and 120.00°. The distinct sites, in fractional coordinates, are Tb at (0.0090, 0.8309, 0.3158), Tb at (0.0475, 0.1983, 0.9143), Tm at (0.0264, 0.5930, 0.1913) and Al at (0.0000, 0.0000, 0.5000).

The volume comes out at 1776.7 Å³/cell. The value obtained for the formation energy is 0.089 eV per atom. As for the electronic total energy: -84.4 eV/f.u.



(5)
DFT (PBE) results for Nd2As3Pd5 after structural relaxation.

The structure belongs to space group Cmc2_1 (No. 36); the cell edges are 4.430, 24.242 and 7.052 Å and the angles 90.00°, 90.00° and 90.00°. The distinct sites, in fractional coordinates, are Nd at (0.000, 0.021, 0.000), Nd at (0.000, 0.326, 0.022), As at (0.000, 0.107, 0.693), As at (0.000, 0.274, 0.588), As at (0.000, 0.451, 0.800), Pd at (0.000, 0.107, 0.314), Pd at (0.000, 0.196, 0.887), Pd at (0.000, 0.227, 0.277), Pd at (0.000, 0.376, 0.540) and Pd at (0.000, 0.445, 0.197).

The volume comes out at 757.3 Å³/cell. The value obtained for the formation energy is -0.822 eV per atom. As for the electronic total energy: -57.7 eV/f.u.



(6)
DFT (PBE) results for BaBeFe3 after structural relaxation.

The structure belongs to space group Pm-3m (No. 221); the cell edges are 4.881, 4.881 and 4.881 Å and the angles 90.00°, 90.00° and 90.00°. The distinct sites, in fractional coordinates, are Ba at (0.000, 0.000, 0.000), Be at (0.500, 0.500, 0.500) and Fe at (0.000, 0.000, 0.500).

As for the energy above the most stable polymorph in this dataset: 1.831 eV per atom. The volume comes out at 116.3 Å³/cell. The value obtained for the formation energy is 2.650 eV per atom. As for the electronic total energy: -17.8 eV/f.u.



(7)
DFT (PBE) results for Cs2SrCoI6 after structural relaxation.

The structure belongs to space group Fm-3m (No. 225); the cell edges are 12.119, 12.119 and 12.119 Å and the angles 90.00°, 90.00° and 90.00°. The distinct sites, in fractional coordinates, are Cs at (0.250, 0.250, 0.250), Sr at (0.000, 0.000, 0.000), Co at (0.000, 0.000, 0.500) and I at (0.000, 0.000, 0.268).

The volume comes out at 1780.1 Å³/cell. As for the electronic total energy: -30.4 eV/f.u. The formation energy without anion corrections comes out at -1.063 eV per atom.



(8)
DFT (PBE) results for CsNaRe2 after structural relaxation.

The structure belongs to space group Fm-3m (No. 225); the cell edges are 6.796, 6.796 and 6.796 Å and the angles 90.00°, 90.00° and 90.00°. The distinct sites, in fractional coordinates, are Cs at (0.000, 0.000, 0.000), Na at (0.000, 0.000, 0.500) and Re at (0.250, 0.250, 0.250).

The volume comes out at 313.9 Å³/cell. The value obtained for the formation energy is 2.771 eV per atom. As for the electronic total energy: -16.0 eV/f.u.



(9)
DFT (PBE) results for Ac2TcC2N6 after structural relaxation.

The structure belongs to space group C2/m (No. 12); the cell edges are 9.214, 5.290 and 6.214 Å and the angles 90.00°, 119.63° and 90.00°. The distinct sites, in fractional coordinates, are Ac at (0.218, 0.000, 0.186), Tc at (0.000, 0.000, 0.500), C at (0.079, 0.500, 0.277), N at (0.006, 0.276, 0.752) and N at (0.240, 0.500, 0.320).

The volume comes out at 263.3 Å³/cell. As for the electronic total energy: -92.2 eV/f.u. The formation energy without anion corrections comes out at -0.477 eV per atom.



(10)
DFT (PBE) results for HfTlBiPt2 after structural relaxation.

The structure belongs to space group P4/mmm (No. 123); the cell edges are 5.050, 5.050 and 5.677 Å and the angles 90.00°, 90.00° and 90.00°. The distinct sites, in fractional coordinates, are Hf at (0.000, 0.000, 0.000), Tl at (0.500, 0.500, 0.500), Bi at (0.000, 0.000, 0.500) and Pt at (0.000, 0.500, 0.000).

The volume comes out at 144.8 Å³/cell. The value obtained for the formation energy is 0.389 eV per atom. As for the electronic total energy: -26.3 eV/f.u.



(11)
DFT (PBE) results for Cs2RbHg2 after structural relaxation.

The structure belongs to space group C2/m (No. 12); the cell edges are 14.890, 5.337 and 7.566 Å and the angles 90.00°, 102.40° and 90.00°. The distinct sites, in fractional coordinates, are Cs at (0.149, 0.000, 0.085), Rb at (0.000, 0.500, 0.500) and Hg at (0.221, 0.000, 0.591).

As for the energy above the most stable polymorph in this dataset: 0.028 eV per atom. The volume comes out at 587.2 Å³/cell. The value obtained for the formation energy is -0.164 eV per atom. As for the electronic total energy: -4.1 eV/f.u.



(12)
DFT (PBE) results for KZrAg2 after structural relaxation.

The structure belongs to space group I-42d (No. 122); the cell edges are 8.043, 8.043 and 6.971 Å and the angles 90.00°, 90.00° and 90.00°. The distinct sites, in fractional coordinates, are K at (0.000, 0.000, 0.000), Zr at (0.000, 0.000, 0.500) and Ag at (0.214, 0.750, 0.625).

As for the energy above the most stable polymorph in this dataset: 0.579 eV per atom. The volume comes out at 451.0 Å³/cell. The value obtained for the formation energy is 0.701 eV per atom. As for the electronic total energy: -12.5 eV/f.u.